VASP calculation (GGA-PBE) on crystalline BaSn2GeBr8 at its relaxed geometry.

ΔE_f (raw)   -1.04 eV/atom
Energy   -40.35 eV/cell

a = 6.900 Å, b = 9.070 Å, c = 7.153 Å
α = 90.00°, β = 90.63°, γ = 90.00°
Space group P2/m (No. 10)
Asymmetric unit:
Ba 0.000 0.000 0.000 (multiplicity 1)
Sn 0.500 0.264 0.500 (multiplicity 2)
Ge 0.000 0.500 0.000 (multiplicity 1)
Br 0.237 0.280 0.163 (multiplicity 4)
Br 0.252 0.500 0.679 (multiplicity 2)
Br 0.274 0.000 0.638 (multiplicity 2)

VASP calculation (GGA-PBE) on crystalline Ac3SiP2Pt9 at its relaxed geometry.

ΔE_f (raw)   -0.84 eV/atom
Energy   -95.56 eV/cell

a = 6.5438 Å, b = 6.5438 Å, c = 8.4811 Å
α = 90.00°, β = 90.00°, γ = 120.00°
Space group P-3m1 (No. 164)
Asymmetric unit:
Ac 0.0000 0.0000 0.0000 (multiplicity 1)
Ac 0.3333 0.6667 0.6481 (multiplicity 2)
Si 0.0000 0.0000 0.5000 (multiplicity 1)
P 0.3333 0.6667 0.1816 (multiplicity 2)
Pt 0.0000 0.5000 0.0000 (multiplicity 3)
Pt 0.1492 0.2983 0.2965 (multiplicity 6)

VASP calculation (GGA-PBE) on crystalline Hg2SbP2 at its relaxed geometry.

ΔE_f (raw)   0.32 eV/atom
Energy   -27.94 eV/cell
Excess energy over the best structure of this formula in the dataset   0.00 eV/f.u.

a = 3.174 Å, b = 3.174 Å, c = 25.058 Å
α = 90.00°, β = 90.00°, γ = 90.00°
Space group I4/mmm (No. 139)
Asymmetric unit:
Hg 0.000 0.000 0.117 (multiplicity 4)
Sb 0.000 0.000 0.500 (multiplicity 2)
P 0.000 0.500 0.250 (multiplicity 4)

VASP calculation (GGA-PBE) on crystalline V3SnH at its relaxed geometry.

Energy   -70.54 eV/cell

a = 4.535 Å, b = 5.135 Å, c = 5.522 Å
α = 81.90°, β = 88.98°, γ = 89.90°
Space group P-1 (No. 2)
Asymmetric unit:
V 0.225 0.157 0.039 (multiplicity 2)
V 0.233 0.099 0.560 (multiplicity 2)
V 0.235 0.644 0.800 (multiplicity 2)
Sn 0.259 0.640 0.287 (multiplicity 2)
H 0.487 0.114 0.292 (multiplicity 2)

VASP calculation (GGA-PBE) on crystalline LiCrAg4 at its relaxed geometry.

Energy   -86.18 eV/cell
Formation enthalpy at 0 K   233 meV/atom

a = 7.746 Å, b = 7.746 Å, c = 7.746 Å
α = 90.00°, β = 90.00°, γ = 90.00°
Space group F-43m (No. 216)
Asymmetric unit:
Li 0.000 0.000 0.000 (multiplicity 4)
Cr 0.250 0.250 0.250 (multiplicity 4)
Ag 0.125 0.125 0.625 (multiplicity 16)

VASP calculation (GGA-PBE) on crystalline VRe3Ir at its relaxed geometry.

Energy   -46.82 eV/cell
Excess energy over the best structure of this formula in the dataset   0.00 eV/f.u.
Formation enthalpy at 0 K   1700 meV/atom

a = 4.410 Å, b = 4.410 Å, c = 4.410 Å
α = 90.00°, β = 90.00°, γ = 90.00°
Space group Pm-3m (No. 221)
Asymmetric unit:
V 0.000 0.000 0.000 (multiplicity 1)
Re 0.000 0.000 0.500 (multiplicity 3)
Ir 0.500 0.500 0.500 (multiplicity 1)

VASP calculation (GGA-PBE) on crystalline NaAcDy2Tl4 at its relaxed geometry.

Energy   -78.69 eV/cell
Formation enthalpy at 0 K   -267 meV/atom

a = 5.4233 Å, b = 5.4233 Å, c = 27.8585 Å
α = 90.00°, β = 90.00°, γ = 120.00°
Space group R-3m (No. 166, hexagonal axes)
Asymmetric unit:
Na 0.0000 0.0000 0.0000 (multiplicity 3)
Ac 0.0000 0.0000 0.5000 (multiplicity 3)
Dy 0.0000 0.0000 0.2564 (multiplicity 6)
Tl 0.0000 0.0000 0.1183 (multiplicity 6)
Tl 0.0000 0.0000 0.3716 (multiplicity 6)

VASP calculation (GGA-PBE) on crystalline Cs4ErU3Se8 at its relaxed geometry.

ΔE_f (raw)   -1.32 eV/atom
Energy   -272.45 eV/cell

a = 8.5284 Å, b = 8.5284 Å, c = 25.2848 Å
α = 90.00°, β = 90.00°, γ = 120.00°
Space group R-3m (No. 166, hexagonal axes)
Asymmetric unit:
Cs 0.0000 0.0000 0.0000 (multiplicity 3)
Cs 0.0000 0.5000 0.0000 (multiplicity 9)
Er 0.0000 0.0000 0.5000 (multiplicity 3)
U 0.0000 0.5000 0.5000 (multiplicity 9)
Se 0.0000 0.0000 0.2293 (multiplicity 6)
Se 0.0042 0.5021 0.2288 (multiplicity 18)

> Which value of energy does entry 1 give?

-40.35 eV/cell

> Among the records above, which one has the highest energy?

Hg2SbP2